This record from the Alexandria database describes a geometry-optimized Ba2MoPO structure. The functional is GGA+U.

Cell lengths 6.258, 6.258, 4.588 Å; angles 90.00, 90.00, 90.00 degrees
Space group P4/mmm (No. 123)
Symmetry-distinct sites (fractional):
1 Ba 0.000 0.500 0.000
2 Mo 0.000 0.000 0.000
3 P 0.000 0.000 0.500
4 O 0.500 0.500 0.500

Results
Energy above the most stable polymorph in this dataset, meV/atom: 1005
M_tot, μB/cell: 2.810
D(E_F), states/eV/f.u.: 2.1
Calculated total energy, eV for the cell shown: -20.510